# Ni2RhAu

A relaxed structure of Ni2RhAu (PBE, Alexandria via LeMat-Bulk).

ΔE_f ... 139 meV per atom
DFT total energy ... -5.409 eV per atom
Crystal system ... tetragonal
DOS at the Fermi energy ... 1.6958 states/eV/atom

a b c (Å): 3.640 3.876 3.876
angles (deg): 90.00 90.00 90.00
Site moments in Bohr magnetons follow the coordinates.
Fractional coordinates of all 4 atoms:
Au 0.500 0.000 0.500  0.10
Ni 0.000 0.000 0.000  0.77
Ni 0.000 0.500 0.500  0.77
Rh 0.500 0.500 0.000  0.79

# Mn3Ru5

A relaxed structure of Mn3Ru5 (PBE, Alexandria via LeMat-Bulk).

ΔE_f ... 153 meV per atom
DFT total energy ... -9.083 eV per atom
Crystal system ... monoclinic
DOS at the Fermi energy ... 0.8708 states/eV/atom

a b c (Å): 7.420 7.322 6.995
angles (deg): 95.70 96.45 143.07
Site moments in Bohr magnetons follow the coordinates.
Fractional coordinates of all 16 atoms:
Ru 0.278 0.730 0.499  -0.34
Ru 0.721 0.270 0.501  -0.34
Ru 0.785 0.081 0.856  -0.09
Ru 0.214 0.919 0.144  -0.09
Ru 0.715 0.560 0.290  -0.10
Ru 0.285 0.440 0.710  -0.10
Ru 0.570 0.275 0.856  -0.09
Ru 0.429 0.725 0.144  -0.09
Ru 0.075 0.230 0.290  -0.09
Ru 0.924 0.770 0.710  -0.09
Mn 0.748 0.749 0.998  0.07
Mn 0.251 0.251 0.002  0.07
Mn 0.305 0.159 0.500  2.87
Mn 0.694 0.841 0.500  2.87
Mn 0.167 0.668 0.835  2.58
Mn 0.832 0.332 0.165  2.58

# ReNi

A relaxed structure of ReNi (PBE, Alexandria via LeMat-Bulk).

ΔE_f ... -4 meV per atom
DFT total energy ... -9.118 eV per atom
Crystal system ... tetragonal
DOS at the Fermi energy ... 0.8240 states/eV/atom

a b c (Å): 4.543 4.543 4.543
angles (deg): 131.19 131.18 71.52
Fractional coordinates of all 4 atoms:
Re 0.875 0.125 0.250
Re 0.125 0.875 0.750
Ni 0.375 0.625 0.250
Ni 0.625 0.375 0.750

# Rb2PrI5

A relaxed structure of Rb2PrI5 (PBE, Alexandria via LeMat-Bulk).

Formation energy from raw total energies ... -1.484 eV per atom
Offset from the most stable computed form ... 0.0 meV/atom
DFT total energy ... -3.292 eV per atom
Crystal system ... orthorhombic
DOS at the Fermi energy ... 0.0000 states/eV/atom

a b c (Å): 9.525 10.107 15.021
angles (deg): 90.00 90.00 90.00
Fractional coordinates of all 32 atoms:
Rb 0.927 0.006 0.828
Rb 0.073 0.994 0.172
Rb 0.427 0.994 0.672
Rb 0.073 0.506 0.172
Rb 0.573 0.006 0.328
Rb 0.927 0.494 0.828
Rb 0.573 0.494 0.328
Rb 0.427 0.506 0.672
Pr 0.922 0.750 0.506
Pr 0.078 0.250 0.494
Pr 0.422 0.250 0.994
Pr 0.578 0.750 0.006
I 0.109 0.750 0.683
I 0.891 0.250 0.317
I 0.609 0.250 0.817
I 0.391 0.750 0.183
I 0.831 0.047 0.568
I 0.169 0.953 0.432
I 0.331 0.953 0.932
I 0.169 0.547 0.432
I 0.669 0.047 0.068
I 0.831 0.453 0.568
I 0.669 0.453 0.068
I 0.331 0.547 0.932
I 0.582 0.750 0.510
I 0.418 0.250 0.490
I 0.082 0.250 0.990
I 0.918 0.750 0.010
I 0.647 0.750 0.798
I 0.353 0.250 0.202
I 0.147 0.250 0.702
I 0.853 0.750 0.298

# HgHS2Cl

A relaxed structure of HgHS2Cl (PBE, Alexandria via LeMat-Bulk).

Offset from the most stable computed form ... 621.0 meV/atom
DFT total energy ... -1.701 eV per atom
Crystal system ... tetragonal
DOS at the Fermi energy ... 0.8581 states/eV/atom

a b c (Å): 5.104 5.104 5.467
angles (deg): 90.00 90.00 90.00
Site moments in Bohr magnetons follow the coordinates.
Fractional coordinates of all 5 atoms:
H 0.500 0.500 0.500  0.38
S 0.000 0.500 0.000  0.69
S 0.500 0.000 0.000  0.69
Hg 0.000 0.000 0.000  0.03
Cl 0.000 0.000 0.500  0.21

# AlBrN2O

A relaxed structure of AlBrN2O (PBE, Alexandria via LeMat-Bulk).

Formation energy from raw total energies ... 2.006 eV per atom
DFT total energy ... -3.399 eV per atom
Crystal system ... tetragonal
DOS at the Fermi energy ... 0.5983 states/eV/atom

a b c (Å): 3.589 6.919 3.589
angles (deg): 90.00 90.00 90.00
Site moments in Bohr magnetons follow the coordinates.
Fractional coordinates of all 5 atoms:
O 0.500 0.500 0.500  -0.01
Al 0.000 0.500 0.000  0.00
Br 0.000 0.000 0.000  -0.01
N 0.000 0.000 0.500  0.10
N 0.500 0.000 0.000  0.10